(1)
First-principles (PBE) data for a relaxed structure of Ca6Ac16Pr7, as listed in the Alexandria database.

D(E_F) (states/eV/cell): 51.318
E_form (meV per atom): 151.8
Volume (Å³/atom): 44.67
Total DFT energy (no corrections) (eV/atom): -3.683

a = 12.236 Å, b = 12.236 Å, c = 12.236 Å
α = 60.00°, β = 60.00°, γ = 60.00°
Element x y z (fractional)
Ac1 0.366 0.878 0.878
Pr1 0.500 0.000 0.000
Ac2 0.878 0.366 0.878
Ca1 0.270 0.730 0.730
Ca2 0.730 0.270 0.730
Pr2 0.000 0.000 0.500
Ca3 0.270 0.270 0.730
Ca4 0.730 0.270 0.270
Ac3 0.656 0.032 0.656
Ac4 0.122 0.122 0.634
Pr3 0.500 0.000 0.500
Pr4 0.000 0.500 0.500
Ac5 0.878 0.878 0.878
Ac6 0.344 0.344 0.344
Ac7 0.878 0.878 0.366
Ca5 0.270 0.730 0.270
Ac8 0.344 0.968 0.344
Ac9 0.634 0.122 0.122
Pr5 0.500 0.500 0.000
Ac10 0.032 0.656 0.656
Pr6 0.000 0.500 0.000
Ac11 0.122 0.122 0.122
Ac12 0.656 0.656 0.032
Pr7 0.000 0.000 0.000
Ac13 0.344 0.344 0.968
Ca6 0.730 0.730 0.270
Ac14 0.968 0.344 0.344
Ac15 0.122 0.634 0.122
Ac16 0.656 0.656 0.656

***

(2)
First-principles (PBE) data for a relaxed structure of Ca4AcPr2, as listed in the Alexandria database.

D(E_F) (states/eV/cell): 10.627
E_form (meV per atom): 34.9
Energy above the most stable polymorph in this dataset (eV/atom): 0.000
Volume (Å³/atom): 40.65
Total DFT energy (no corrections) (eV/atom): -3.061

a = 3.854 Å, b = 3.854 Å, c = 22.236 Å
α = 85.03°, β = 85.03°, γ = 60.00°
Element x y z (fractional)
Pr1 0.812 0.812 0.564
Ca1 0.098 0.098 0.706
Ca2 0.902 0.902 0.294
Ca3 0.383 0.383 0.852
Pr2 0.188 0.188 0.436
Ac1 0.000 0.000 0.000
Ca4 0.617 0.617 0.148

***

(3)
First-principles (PBE) data for a relaxed structure of CaAc12Pr7, as listed in the Alexandria database.

D(E_F) (states/eV/cell): 25.173
E_form (meV per atom): 553.4
Energy above the most stable polymorph in this dataset (eV/atom): 0.333
Volume (Å³/atom): 46.77
Total DFT energy (no corrections) (eV/atom): -3.685

a = 10.671 Å, b = 10.671 Å, c = 10.671 Å
α = 109.47°, β = 109.47°, γ = 109.47°
Element x y z (fractional)
Ac1 0.489 0.707 0.782
Pr1 0.000 0.500 0.000
Ac2 0.293 0.782 0.075
Ac3 0.782 0.075 0.293
Ac4 0.782 0.489 0.707
Ac5 0.218 0.925 0.707
Ac6 0.707 0.218 0.925
Pr2 0.500 0.000 0.000
Pr3 0.500 0.500 0.000
Ac7 0.218 0.511 0.293
Pr4 0.000 0.000 0.500
Ac8 0.511 0.293 0.218
Pr5 0.500 0.000 0.500
Ac9 0.925 0.707 0.218
Ca1 0.000 0.000 0.000
Ac10 0.293 0.218 0.511
Pr6 0.500 0.500 0.500
Ac11 0.075 0.293 0.782
Ac12 0.707 0.782 0.489
Pr7 0.000 0.500 0.500

***

(4)
First-principles (PBE) data for a relaxed structure of CaAcPr2, as listed in the Alexandria database.

D(E_F) (states/eV/cell): 6.422
E_form (meV per atom): 53.9
Energy above the most stable polymorph in this dataset (eV/atom): 0.012
Volume (Å³/atom): 39.57
Total DFT energy (no corrections) (eV/atom): -3.863

a = 3.814 Å, b = 3.814 Å, c = 12.563 Å
α = 90.00°, β = 90.00°, γ = 119.97°
Element x y z (fractional)
Ca1 0.800 0.200 0.000
Pr1 0.467 0.533 0.251
Pr2 0.467 0.533 0.749
Ac1 0.132 0.868 0.500

***

(5)
First-principles (PBE) data for a relaxed structure of Ca3Ac12Pr, as listed in the Alexandria database.

D(E_F) (states/eV/cell): 23.475
E_form (meV per atom): 21.7
Volume (Å³/atom): 43.65
Total DFT energy (no corrections) (eV/atom): -3.734

a = 5.593 Å, b = 5.593 Å, c = 22.330 Å
α = 90.00°, β = 90.00°, γ = 90.00°
Element x y z (fractional)
Ca1 0.000 0.000 0.751
Ac1 0.500 0.500 0.751
Ac2 0.000 0.500 0.122
Ac3 0.000 0.500 0.626
Ca2 0.000 0.000 0.500
Ac4 0.000 0.500 0.374
Ac5 0.500 0.000 0.122
Ac6 0.500 0.000 0.374
Ac7 0.500 0.500 0.249
Ac8 0.500 0.000 0.626
Ac9 0.500 0.000 0.878
Pr1 0.000 0.000 0.000
Ac10 0.000 0.500 0.878
Ac11 0.500 0.500 0.000
Ac12 0.500 0.500 0.500
Ca3 0.000 0.000 0.249

***

(6)
First-principles (PBE) data for a relaxed structure of CaAc2Pr6, as listed in the Alexandria database.

D(E_F) (states/eV/cell): 28.254
E_form (meV per atom): 33.6
Volume (Å³/atom): 38.57
Total DFT energy (no corrections) (eV/atom): -4.288

a = 7.572 Å, b = 13.686 Å, c = 10.096 Å
α = 125.60°, β = 55.41°, γ = 114.71°
Element x y z (fractional)
Pr1 0.758 0.998 0.497
Pr2 0.252 0.891 0.062
Ac1 0.750 0.334 0.827
Pr3 0.248 0.333 0.827
Pr4 0.748 0.109 0.938
Pr5 0.755 0.554 0.713
Pr6 0.752 0.667 0.173
Pr7 0.242 0.002 0.503
Pr8 0.751 0.783 0.610
Pr9 0.245 0.446 0.287
Ca1 0.753 0.889 0.055
Pr10 0.742 0.221 0.393
Ac2 0.250 0.666 0.173
Pr11 0.249 0.217 0.390
Ac3 0.751 0.438 0.274
Ca2 0.247 0.111 0.945
Pr12 0.258 0.779 0.607
Ac4 0.249 0.562 0.726